BaFeSeN2 after structural relaxation, computed with GGA-PBE.

Unit cell a=4.073 b=4.073 c=5.011 alpha=90.00 beta=90.00 gamma=90.00
Fractional coordinates of all 5 atoms:
Ba (0.000, 0.000, 0.000)
Fe (0.500, 0.500, 0.500)
Se (0.500, 0.500, 0.000)
N (0.000, 0.500, 0.500)
N (0.500, 0.000, 0.500)

Energy above the lowest structure with this stoichiometry   0.00 eV per formula unit
D(E_F)   0.753 states/eV per atom
Formation energy without anion corrections   436 meV/atom